Material: NaNbInCl6
Method: DFT, PBE-GGA
State: optimized geometry

The structure belongs to space group P-31c (No. 163); the cell edges are 6.9981, 6.9981 and 13.0200 Å and the angles 90.00°, 90.00° and 120.00°. The asymmetric unit holds Na at (0.3333, 0.6667, 0.2500), Nb at (0.3333, 0.6667, 0.7500), In at (0.0000, 0.0000, 0.0000) and Cl at (0.0413, 0.3906, 0.6410).

Its magnetization is 1.000 μB per formula unit. The crystal system is trigonal. The calculation puts the electronic total energy at -4.07 eV per atom. The value obtained for the formation energy from raw total energies is -1272 meV per atom. The volume is 552 Å³ per cell.